Mn2WCl | PBE-GGA | relaxed

Structure (CIF):
```
data_Mn2WCl
_cell_length_a 8.151
_cell_length_b 8.151
_cell_length_c 8.151
_cell_angle_alpha 21.73
_cell_angle_beta 21.73
_cell_angle_gamma 21.73
_symmetry_space_group_name_H-M 'P 1'
_symmetry_Int_Tables_number 1
_symmetry_space_group_name_Hall 'P 1'
loop_
_atom_site_label
_atom_site_type_symbol
_atom_site_fract_x
_atom_site_fract_y
_atom_site_fract_z
Cl1 Cl 0.739 0.739 0.739
Mn1 Mn 0.997 0.997 0.997
Mn2 Mn 0.247 0.247 0.247
W1 W 0.517 0.517 0.517
```

Results
Formation energy without anion corrections: 0.38 eV/atom
Final energy: -7.9013 eV per atom
Distance to the lowest polymorph of the same formula: 0.208 eV/atom
SG: R3m